(1)
Entry from Alexandria via LeMat-Bulk: crystalline NbZn2Cu at its relaxed geometry (PBE-GGA).

```
NbZn2Cu
1.0
-1.1329 -0.1311 2.5842
-2.4452 -0.8684 -1.1160
2.2045 -6.9934 0.6117
Zn Cu Nb
2 1 1
direct
0.0000 0.0000 0.7768
0.0000 0.0000 0.2232
0.5000 0.5000 0.0000
0.5000 0.5000 0.5000
```

ΔE_f = -96 meV per atom
SG = P4/mmm
Calculated total energy = -17.10 eV per cell
DOS at the Fermi energy = 0.393 states/eV/atom
Crystal system = tetragonal
Total magnetic moment = 0.0 μB/cell
Energy relative to the lowest polymorph listed for this composition = 0 meV/atom

(2)
Entry from Alexandria via LeMat-Bulk: crystalline Ce2ErRu at its relaxed geometry (PBE-GGA).

```
Ce2ErRu
1.0
-2.1886 -3.0853 -0.5484
1.6132 -3.4357 -0.4508
-0.5370 -3.4922 8.3826
Er Ce Ru
1 2 1
direct
0.4999 0.4999 0.4995
0.2718 0.2718 0.1849
0.0621 0.0621 0.8137
0.6662 0.6662 0.0018
```

ΔE_f = -54 meV per atom
SG = Cm
Calculated total energy = -25.92 eV per cell
DOS at the Fermi energy = 2.376 states/eV/atom
Crystal system = monoclinic
Total magnetic moment = 0.1 μB/cell
Energy relative to the lowest polymorph listed for this composition = 179 meV/atom

(3)
Entry from Alexandria via LeMat-Bulk: crystalline MgGa2AgAu2 at its relaxed geometry (PBE-GGA).

```
MgGa2AgAu2
1.0
-4.5186 0.2722 -0.0552
-2.3107 -1.4445 -3.6151
-2.7438 -7.5102 1.9199
Au Ga Ag Mg
2 2 1 1
direct
0.7244 0.7244 0.8268
0.2756 0.2756 0.1732
0.3922 0.3922 0.8234
0.6078 0.6078 0.1766
0.5000 0.5000 0.5000
0.0000 0.0000 0.0000
```

ΔE_f = -53 meV per atom
SG = R-3m
Calculated total energy = -17.37 eV per cell
DOS at the Fermi energy = 0.310 states/eV/atom
Crystal system = trigonal
Total magnetic moment = 0.0 μB/cell

(4)
Entry from Alexandria via LeMat-Bulk: crystalline Tb3PmSc6 at its relaxed geometry (PBE-GGA).

```
Tb3PmSc6
1.0
-2.8652 -5.9299 6.5793
6.2295 -4.9054 4.8775
1.2888 -0.8662 6.3664
Sc Tb Pm
6 3 1
direct
0.5694 0.2310 0.2994
0.7285 0.0714 0.7999
0.0714 0.4001 0.7999
0.9002 0.5694 0.2994
0.2310 0.9002 0.2994
0.4001 0.7285 0.7999
0.3998 0.3998 0.8004
0.6486 0.6486 0.0541
0.1509 0.1509 0.5473
0.8999 0.8999 0.3004
```

ΔE_f = 406 meV per atom
SG = R32
Calculated total energy = -52.57 eV per cell
DOS at the Fermi energy = 2.122 states/eV/atom
Crystal system = trigonal
Total magnetic moment = 0.0 μB/cell
Energy relative to the lowest polymorph listed for this composition = 248 meV/atom

(5)
Entry from Alexandria via LeMat-Bulk: crystalline LiAl4Te7 at its relaxed geometry (PBE-GGA).

```
LiAl4Te7
1.0
-4.2339 -4.0520 3.8651
4.7368 -5.6036 -0.6858
7.8839 4.9698 13.8464
Te Al Li
14 8 2
direct
0.9202 0.1707 0.2405
0.9267 0.6612 0.1145
0.4267 0.3388 0.3855
0.4018 0.8365 0.0000
0.4202 0.8293 0.2595
0.4267 0.3388 0.6145
0.9028 0.6581 0.6253
0.9028 0.6581 0.3747
0.9202 0.1707 0.7595
0.4028 0.3419 0.8747
0.4028 0.3419 0.1253
0.9018 0.1635 0.5000
0.9267 0.6612 0.8855
0.4202 0.8293 0.7405
0.5529 0.6704 0.8751
0.5529 0.6704 0.1249
0.5349 0.1767 0.7471
0.0349 0.8233 0.7529
0.0349 0.8233 0.2471
0.0529 0.3296 0.6249
0.5349 0.1767 0.2529
0.0529 0.3296 0.3751
0.0781 0.8324 0.5000
0.5781 0.1676 0.0000
```

SG = Pmn2_1
Calculated total energy = -88.04 eV per cell
DOS at the Fermi energy = 0.611 states/eV/atom
Crystal system = orthorhombic
Total magnetic moment = 2.0 μB/cell

(6)
Entry from Alexandria via LeMat-Bulk: crystalline K2BaIr at its relaxed geometry (PBE-GGA).

```
K2BaIr
1.0
6.0463 0.0000 0.0000
0.0000 4.9372 0.0451
0.0000 0.7913 4.8770
K Ba Ir
2 1 1
direct
0.0000 0.9531 0.9531
0.0000 0.5469 0.5469
0.5000 0.2500 0.2500
0.5000 0.7500 0.7500
```

ΔE_f = 554 meV per atom
SG = Cmmm
Calculated total energy = -10.76 eV per cell
DOS at the Fermi energy = 0.895 states/eV/atom
Crystal system = orthorhombic
Total magnetic moment = 0.5 μB/cell
Energy relative to the lowest polymorph listed for this composition = 247 meV/atom